Compound: Mg3CuBi
Source: the Alexandria database
Functional: PBE-GGA
Structure: optimized geometry

Unit cell a=4.937 b=4.937 c=4.937 alpha=90.00 beta=90.00 gamma=90.00
Positions (direct):
Mg 0.500 0.000 0.000
Mg 0.000 0.000 0.500
Cu 0.000 0.000 0.000
Bi 0.500 0.500 0.500
Mg 0.000 0.500 0.000

Properties
The total moment is 0.00 μB per formula unit. The final energy comes out at -2.50 eV per atom. Its energy relative to the elements is 0.050 eV per atom. For the volume, the calculation gives 120 Å³ per cell. Its space group is Pm-3m. The calculation puts the energy above the most stable polymorph in this dataset at 0.00 eV/f.u.


Compound: YTm2AgN
Source: the Alexandria database
Functional: PBE-GGA
Structure: optimized geometry

Unit cell a=4.689 b=4.689 c=4.855 alpha=90.00 beta=90.00 gamma=90.00
Positions (direct):
Tm 0.000 0.500 0.000
N 0.000 0.000 0.000
Ag 0.500 0.500 0.500
Y 0.000 0.000 0.500
Tm 0.500 0.000 0.000

Properties
The total moment is 0.00 μB per formula unit. The final energy comes out at -6.09 eV per atom. The value obtained for the energy relative to the elements, uncorrected is -0.78 eV per atom. For the volume, the calculation gives 107 Å³ per cell. Its space group is P4/mmm.


Compound: Na2LiAgF
Source: the Alexandria database
Functional: PBE-GGA
Structure: optimized geometry

Unit cell a=5.071 b=5.071 c=3.791 alpha=90.00 beta=90.00 gamma=90.00
Positions (direct):
Ag 0.500 0.500 0.500
Li 0.000 0.000 0.500
Na 0.000 0.500 0.000
Na 0.500 0.000 0.000
F 0.000 0.000 0.000

Properties
The total moment is 0.00 μB per formula unit. The final energy comes out at -2.90 eV per atom. The value obtained for the energy relative to the elements, uncorrected is -1.04 eV per atom. For the volume, the calculation gives 97 Å³ per cell. Its space group is P4/mmm.


Compound: BeNi2Pd2
Source: the Alexandria database
Functional: PBE-GGA
Structure: optimized geometry

Unit cell a=5.574 b=5.574 c=4.058 alpha=90.00 beta=90.00 gamma=90.00
Positions (direct):
Ni 0.644 0.144 0.000
Pd 0.673 0.827 0.500
Ni 0.856 0.644 0.000
Ni 0.144 0.356 0.000
Pd 0.827 0.327 0.500
Pd 0.327 0.173 0.500
Ni 0.356 0.856 0.000
Be 0.500 0.500 0.000
Pd 0.173 0.673 0.500
Be 0.000 0.000 0.000

Properties
The total moment is 0.76 μB per formula unit. The final energy comes out at -5.12 eV per atom. Its energy relative to the elements is 0.015 eV per atom. For the volume, the calculation gives 126 Å³ per cell. Its space group is P4/mbm. The calculation puts the energy above the most stable polymorph in this dataset at 0.00 eV/f.u.


Compound: HfThSe2N
Source: the Alexandria database
Functional: PBE-GGA
Structure: optimized geometry

Unit cell a=3.949 b=3.949 c=13.809 alpha=90.00 beta=90.00 gamma=90.00
Positions (direct):
Th 0.000 0.500 0.412
Hf 0.000 0.500 0.904
Se 0.500 0.000 0.282
Se 0.000 0.500 0.718
Se 0.500 0.000 0.895
Hf 0.500 0.000 0.096
Se 0.000 0.500 0.105
N 0.000 0.000 0.500
Th 0.500 0.000 0.588
N 0.500 0.500 0.500

Properties
The total moment is 0.00 μB per formula unit. The final energy comes out at -8.01 eV per atom. The value obtained for the energy relative to the elements, uncorrected is -1.48 eV per atom. For the volume, the calculation gives 215 Å³ per cell. Its space group is P4/nmm.


Compound: KPm2Tm3Te6
Source: the Alexandria database
Functional: PBE-GGA
Structure: optimized geometry

Unit cell a=4.351 b=9.081 c=10.014 alpha=104.80 beta=102.55 gamma=90.00
Positions (direct):
Pm 0.826 0.648 0.653
Te 0.675 0.080 0.349
Te 0.000 0.269 0.000
Te 0.325 0.920 0.651
Te 0.000 0.731 0.000
Te 0.339 0.406 0.678
Tm 0.836 0.174 0.672
Te 0.661 0.594 0.322
K 0.500 0.000 0.000
Tm 0.500 0.500 0.000
Tm 0.164 0.826 0.328
Pm 0.174 0.352 0.347

Properties
The total moment is 0.00 μB per formula unit. The final energy comes out at -4.87 eV per atom. The value obtained for the energy relative to the elements, uncorrected is -1.30 eV per atom. For the volume, the calculation gives 373 Å³ per cell. Its space group is C2/m.


Compound: Eu3HgPt
Source: the Alexandria database
Functional: PBE-GGA
Structure: optimized geometry

Unit cell a=5.691 b=5.691 c=5.691 alpha=90.00 beta=90.00 gamma=90.00
Positions (direct):
Eu 0.500 0.000 0.000
Eu 0.000 0.500 0.000
Eu 0.000 0.000 0.500
Pt 0.000 0.000 0.000
Hg 0.500 0.500 0.500

Properties
The total moment is 21.63 μB per formula unit. The final energy comes out at -7.93 eV per atom. Its energy relative to the elements is -0.499 eV per atom. For the volume, the calculation gives 184 Å³ per cell. Its space group is Pm-3m.


Compound: Sc6CO5
Source: the Alexandria database
Functional: PBE-GGA
Structure: optimized geometry

Unit cell a=5.529 b=5.529 c=5.538 alpha=99.51 beta=99.51 gamma=120.17
Positions (direct):
C 0.000 0.000 0.000
Sc 0.406 0.082 0.244
O 0.667 0.333 0.000
Sc 0.082 0.406 0.244
O 0.333 0.667 0.000
Sc 0.755 0.755 0.243
O 0.500 0.500 0.500
O 0.167 0.833 0.500
Sc 0.594 0.918 0.756
Sc 0.245 0.245 0.757
O 0.833 0.167 0.500
Sc 0.918 0.594 0.756

Properties
The total moment is 0.00 μB per formula unit. The final energy comes out at -8.64 eV per atom. The value obtained for the energy relative to the elements, uncorrected is -2.64 eV per atom. For the volume, the calculation gives 138 Å³ per cell. Its space group is C2/m.


Compound: ThCd4Cu4
Source: the Alexandria database
Functional: PBE-GGA
Structure: optimized geometry

Unit cell a=4.493 b=9.018 c=9.018 alpha=90.00 beta=90.00 gamma=90.00
Positions (direct):
Cd 0.500 0.383 0.866
Cu 0.000 0.312 0.407
Cu 0.500 0.907 0.188
Cd 0.500 0.134 0.383
Cd 0.000 0.366 0.117
Cd 0.500 0.866 0.617
Th 0.000 0.000 0.000
Cd 0.000 0.634 0.883
Cd 0.000 0.117 0.634
Cu 0.500 0.188 0.093
Cu 0.000 0.593 0.312
Cu 0.000 0.688 0.593
Cd 0.500 0.617 0.134
Cu 0.000 0.407 0.688
Cd 0.000 0.883 0.366
Th 0.500 0.500 0.500
Cu 0.500 0.093 0.812
Cu 0.500 0.812 0.907

Properties
The total moment is 0.00 μB per formula unit. The final energy comes out at -2.99 eV per atom. Its energy relative to the elements is 0.061 eV per atom. For the volume, the calculation gives 365 Å³ per cell. Its space group is I4/m.


Compound: Cu3C
Source: the Alexandria database
Functional: PBE-GGA
Structure: optimized geometry

Unit cell a=3.904 b=3.904 c=3.904 alpha=60.00 beta=60.00 gamma=60.00
Positions (direct):
Cu 0.500 0.500 0.500
Cu 0.250 0.250 0.250
Cu 0.750 0.750 0.750
C 0.000 0.000 0.000

Properties
The total moment is 0.00 μB per formula unit. The final energy comes out at -4.29 eV per atom. Its energy relative to the elements is 1.085 eV per atom. For the volume, the calculation gives 42 Å³ per cell. Its space group is Fm-3m.


Compound: CeErAs2Rh2
Source: the Alexandria database
Functional: PBE-GGA
Structure: optimized geometry

Unit cell a=4.260 b=4.260 c=7.570 alpha=90.00 beta=90.00 gamma=120.00
Positions (direct):
Rh 0.667 0.333 0.276
Er 0.000 0.000 0.500
Ce 0.000 0.000 0.000
Rh 0.333 0.667 0.724
As 0.333 0.667 0.242
As 0.667 0.333 0.758

Properties
The total moment is 0.00 μB per formula unit. The final energy comes out at -6.85 eV per atom. Its energy relative to the elements is -1.103 eV per atom. For the volume, the calculation gives 119 Å³ per cell. Its space group is P-3m1.


Compound: Ti2VS4
Source: the Alexandria database
Functional: PBE-GGA
Structure: optimized geometry

Unit cell a=6.738 b=6.738 c=5.980 alpha=64.01 beta=64.01 gamma=28.87
Positions (direct):
S 0.882 0.882 0.446
Ti 0.255 0.255 0.724
V 0.000 0.000 0.000
S 0.627 0.627 0.037
Ti 0.745 0.745 0.276
S 0.118 0.118 0.554
S 0.373 0.373 0.963

Properties
The total moment is 1.69 μB per formula unit. The final energy comes out at -7.20 eV per atom. The value obtained for the energy relative to the elements, uncorrected is -1.29 eV per atom. For the volume, the calculation gives 117 Å³ per cell. Its space group is C2/m. The calculation puts the energy above the most stable polymorph in this dataset at 0.00 eV/f.u.


- Among the records above, which one has the lowest final energy?
  Sc6CO5


- The highest total moment belongs to which entry?
  Eu3HgPt


- final energy of number 5 (HfThSe2N)?
  -8.01 eV per atom


- What is the final energy in the twelfth record?
  -7.20 eV per atom